{
  "formula": "Be3Nb2Au",
  "functional": "GGA-PBE",
  "state": "optimized geometry",
  "final_energy_ev_per_atom": -5.924,
  "cell": [[6.243, 0.000, 0.000], [0.000, 3.697, 0.000], [0.000, 0.000, 13.770]],
  "species": ["Be", "Be", "Be", "Be", "Be", "Be", "Be", "Be", "Be", "Be", "Be", "Be", "Nb", "Nb", "Nb", "Nb", "Nb", "Nb", "Nb", "Nb", "Au", "Au", "Au", "Au"],
  "fractional_positions": [[0.137, 0.250, 0.146], [0.212, 0.750, 0.808], [0.248, 0.250, 0.580], [0.252, 0.750, 0.080], [0.288, 0.250, 0.308], [0.363, 0.750, 0.646], [0.637, 0.250, 0.354], [0.712, 0.750, 0.692], [0.748, 0.250, 0.920], [0.752, 0.750, 0.420], [0.788, 0.250, 0.192], [0.863, 0.750, 0.854], [0.015, 0.750, 0.264], [0.136, 0.250, 0.943], [0.364, 0.750, 0.443], [0.485, 0.250, 0.764], [0.515, 0.750, 0.236], [0.636, 0.250, 0.557], [0.864, 0.750, 0.057], [0.985, 0.250, 0.736], [0.004, 0.250, 0.424], [0.496, 0.750, 0.924], [0.504, 0.250, 0.076], [0.996, 0.750, 0.576]]
}

{
  "formula": "Mg2ScMn",
  "functional": "GGA-PBE",
  "state": "optimized geometry",
  "e_above_lowest_polymorph_mev_per_atom": 405.8,
  "final_energy_ev_per_atom": -4.228,
  "cell": [[4.033, 0.000, 0.000], [0.000, 4.033, 0.000], [0.000, 0.000, 21.419]],
  "species": ["Mg", "Mg", "Mg", "Mg", "Mg", "Mg", "Mg", "Mg", "Sc", "Sc", "Sc", "Sc", "Mn", "Mn", "Mn", "Mn"],
  "fractional_positions": [[0.240, 0.250, 0.125], [0.250, 0.740, 0.375], [0.250, 0.760, 0.875], [0.260, 0.250, 0.625], [0.740, 0.750, 0.625], [0.750, 0.240, 0.875], [0.750, 0.260, 0.375], [0.760, 0.750, 0.125], [0.000, 0.000, 0.500], [0.000, 0.500, 0.750], [0.500, 0.000, 0.250], [0.500, 0.500, 0.000], [0.000, 0.000, 0.000], [0.000, 0.500, 0.250], [0.500, 0.000, 0.750], [0.500, 0.500, 0.500]]
}

{
  "formula": "KMgTl4In2",
  "functional": "GGA-PBE",
  "state": "optimized geometry",
  "final_energy_ev_per_atom": -2.250,
  "cell": [[2.654, 1.532, 9.893], [-2.654, 1.532, 9.893], [0.000, -3.065, 9.893]],
  "species": ["K", "Mg", "Tl", "Tl", "Tl", "Tl", "In", "In"],
  "fractional_positions": [[0.000, 0.000, 0.000], [0.500, 0.500, 0.500], [0.132, 0.132, 0.132], [0.394, 0.394, 0.394], [0.606, 0.606, 0.606], [0.868, 0.868, 0.868], [0.245, 0.245, 0.245], [0.755, 0.755, 0.755]]
}